Entry 1:
Material: RbGdTe2
Method: DFT, PBE
State: optimized geometry

The space group is P4/mmm (No. 123) and the conventional cell measures 3.943, 3.943 and 8.778 Å, with angles of 90.00, 90.00 and 90.00 degrees. The asymmetric unit holds Rb at (0.000, 0.000, 0.000), Gd at (0.000, 0.000, 0.500) and Te at (0.500, 0.500, 0.295).

As for the density of states at the Fermi level: 2.30 states/eV per cell. For the mass density, the calculation gives 6.1 g cm⁻³. Its formation energy from raw total energies is -1208 meV per atom.

=====

Entry 2:
Material: RbGdTe4
Method: DFT, PBE
State: optimized geometry

The space group is P4/nbm (No. 125, origin choice 2) and the conventional cell measures 6.885, 6.885 and 9.279 Å, with angles of 90.00, 90.00 and 90.00 degrees. The asymmetric unit holds Rb at (0.250, 0.250, 0.000), Gd at (0.250, 0.250, 0.500) and Te at (0.104, 0.604, 0.299).

As for the density of states at the Fermi level: 4.90 states/eV per cell. For the mass density, the calculation gives 5.7 g cm⁻³. Its formation energy from raw total energies is -948 meV per atom.

=====

Entry 3:
Material: RbGdTl2
Method: DFT, PBE
State: optimized geometry

The space group is R-3m (No. 166, hexagonal axes) and the conventional cell measures 3.8255, 3.8255 and 33.2683 Å, with angles of 90.00, 90.00 and 120.00 degrees. The asymmetric unit holds Rb at (0.0000, 0.0000, 0.0000), Gd at (0.0000, 0.0000, 0.5000) and Tl at (0.0000, 0.0000, 0.2412).

As for the density of states at the Fermi level: 13.32 states/eV per cell. As for the energy of formation from the pure elements: -0.034 eV per atom. For the mass density, the calculation gives 7.7 g cm⁻³. The calculation puts the energy above the most stable polymorph in this dataset at 163.9 meV/atom.

=====

Entry 4:
Material: RbGdTl4
Method: DFT, PBE
State: optimized geometry

The space group is F-43m (No. 216) and the conventional cell measures 9.180, 9.180 and 9.180 Å, with angles of 90.00, 90.00 and 90.00 degrees. The asymmetric unit holds Rb at (0.000, 0.000, 0.000), Gd at (0.250, 0.250, 0.750) and Tl at (0.124, 0.124, 0.376).

As for the density of states at the Fermi level: 29.41 states/eV per cell. As for the energy of formation from the pure elements: 0.002 eV per atom. For the mass density, the calculation gives 9.1 g cm⁻³.

=====

Entry 5:
Material: RbGdTl2
Method: DFT, PBE
State: optimized geometry

The space group is P4/mmm (No. 123) and the conventional cell measures 3.921, 3.921 and 8.977 Å, with angles of 90.00, 90.00 and 90.00 degrees. The asymmetric unit holds Rb at (0.000, 0.000, 0.000), Gd at (0.000, 0.000, 0.500) and Tl at (0.500, 0.500, 0.300).

As for the density of states at the Fermi level: 2.72 states/eV per cell. As for the energy of formation from the pure elements: -0.198 eV per atom. For the mass density, the calculation gives 7.8 g cm⁻³. The calculation puts the energy above the most stable polymorph in this dataset at 0.0 meV/atom.

=====

Entry 6:
Material: RbGdTm2
Method: DFT, PBE
State: optimized geometry

The space group is R-3m (No. 166, hexagonal axes) and the conventional cell measures 3.5818, 3.5818 and 39.3045 Å, with angles of 90.00, 90.00 and 120.00 degrees. The asymmetric unit holds Rb at (0.0000, 0.0000, 0.0000), Gd at (0.0000, 0.0000, 0.5000) and Tm at (0.0000, 0.0000, 0.0952).

As for the density of states at the Fermi level: 17.65 states/eV per cell. As for the energy of formation from the pure elements: 0.337 eV per atom. For the mass density, the calculation gives 6.6 g cm⁻³.